Record 1
Compound: HfTcH5
Source: the Alexandria database
Functional: PBE
Structure: optimized geometry

Cell: 4.464 4.549 5.890 Å, 89.24 89.47 60.64°
Positions (direct):
Hf  0.177  0.145  0.250
Hf  0.823  0.855  0.750
Tc  0.500  0.500  0.000
Tc  0.500  0.500  0.500
H  0.076  0.764  0.070
H  0.076  0.767  0.430
H  0.339  0.235  0.571
H  0.343  0.235  0.930
H  0.365  0.770  0.749
H  0.635  0.230  0.251
H  0.657  0.765  0.070
H  0.661  0.765  0.429
H  0.924  0.233  0.570
H  0.924  0.236  0.930

Output
Electronic total energy in eV per atom: -5.525

Record 2
Compound: HfTc2H2
Source: the Alexandria database
Functional: PBE
Structure: optimized geometry

Cell: 3.307 3.307 10.127 Å, 90.00 90.00 90.00°
Positions (direct):
Hf  0.000  0.000  0.000
Hf  0.500  0.500  0.500
Tc  0.000  0.000  0.346
Tc  0.000  0.000  0.654
Tc  0.500  0.500  0.154
Tc  0.500  0.500  0.846
H  0.000  0.500  0.250
H  0.000  0.500  0.750
H  0.500  0.000  0.250
H  0.500  0.000  0.750

Output
Electronic total energy in eV per atom: -7.537

Record 3
Compound: HfTc3H
Source: the Alexandria database
Functional: PBE
Structure: optimized geometry

Cell: 4.045 4.045 4.045 Å, 90.00 90.00 90.00°
Positions (direct):
Hf  0.000  0.000  0.000
Tc  0.000  0.500  0.500
Tc  0.500  0.000  0.500
Tc  0.500  0.500  0.000
H  0.500  0.500  0.500

Output
Relative energy among the computed polymorphs in kJ/mol of atoms: 0.0

Record 4
Compound: Hf2TcH8
Source: the Alexandria database
Functional: PBE
Structure: optimized geometry

Cell: 6.424 6.424 4.411 Å, 97.85 97.85 28.26°
Positions (direct):
Hf  0.134  0.134  0.073
Hf  0.866  0.866  0.927
Tc  0.500  0.500  0.500
H  0.007  0.007  0.744
H  0.255  0.255  0.814
H  0.373  0.373  0.623
H  0.382  0.382  0.204
H  0.618  0.618  0.796
H  0.627  0.627  0.377
H  0.745  0.745  0.186
H  0.993  0.993  0.256

Output
Electronic total energy in eV per atom: -5.422

Record 5
Compound: Hf2TcH
Source: the Alexandria database
Functional: PBE
Structure: optimized geometry

Cell: 6.356 6.356 6.356 Å, 90.00 90.00 90.00°
Positions (direct):
Hf  0.250  0.250  0.250
Hf  0.250  0.250  0.750
Hf  0.250  0.750  0.250
Hf  0.250  0.750  0.750
Hf  0.750  0.250  0.250
Hf  0.750  0.250  0.750
Hf  0.750  0.750  0.250
Hf  0.750  0.750  0.750
Tc  0.000  0.000  0.000
Tc  0.000  0.500  0.500
Tc  0.500  0.000  0.500
Tc  0.500  0.500  0.000
H  0.000  0.000  0.500
H  0.000  0.500  0.000
H  0.500  0.000  0.000
H  0.500  0.500  0.500

Output
Relative energy among the computed polymorphs in kJ/mol of atoms: 34.0

Record 6
Compound: HfTc2H
Source: the Alexandria database
Functional: PBE
Structure: optimized geometry

Cell: 6.141 6.141 6.141 Å, 90.00 90.00 90.00°
Positions (direct):
Hf  0.000  0.000  0.000
Hf  0.000  0.500  0.500
Hf  0.500  0.000  0.500
Hf  0.500  0.500  0.000
Tc  0.250  0.250  0.250
Tc  0.250  0.250  0.750
Tc  0.250  0.750  0.250
Tc  0.250  0.750  0.750
Tc  0.750  0.250  0.250
Tc  0.750  0.250  0.750
Tc  0.750  0.750  0.250
Tc  0.750  0.750  0.750
H  0.000  0.000  0.500
H  0.000  0.500  0.000
H  0.500  0.000  0.000
H  0.500  0.500  0.500

Output
Relative energy among the computed polymorphs in kJ/mol of atoms: 75.5

Volume
In order: 104.2; 110.7; 66.2; 85.3; 256.8; 231.6
Unit: Å³/cell